Here is an optimized crystal structure of Al2TlTe2 from Alexandria via LeMat-Bulk. Energies are from PBE.

CIF file:
```
data_Al2TlTe2
_chemical_formula_sum 'Al4 Tl2 Te4'
_cell_length_a 5.456
_cell_length_b 5.456
_cell_length_c 9.224
_cell_angle_alpha 90.00
_cell_angle_beta 90.00
_cell_angle_gamma 90.00
_space_group_name_H-M_alt 'I 4/m m m'
_space_group_IT_number 139
_space_group_name_Hall '-I 4 2'
loop_
_atom_site_label
_atom_site_fract_x
_atom_site_fract_y
_atom_site_fract_z
Al1 0.000 0.000 0.144
Tl1 0.000 0.000 0.500
Te1 0.000 0.500 0.250
```

Values from the calculation:
Magnetization ... 0.000 μB per cell
D(E_F) ... 1.4 states/eV/f.u.
Energy above the lowest structure with this stoichiometry ... 0.0 meV/atom
Uncorrected formation energy ... -175 meV/atom
Calculated volume ... 27.5 A^3/atom